Density functional theory data (GGA-PBE) for a geometry-optimized SrHoHg2 structure.

For the formation energy, the calculation gives -2.01 eV per formula unit. The density of states at the Fermi level comes out at 0.72 states/eV/atom. The value obtained for the energy is -8.870 eV for the cell shown. For the size of the total moment, the calculation gives 0.00 Bohr magnetons per cell.

The space group is P4/mmm (No. 123) and the conventional cell measures 3.837, 3.837 and 7.721 Å, with angles of 90.00, 90.00 and 90.00 degrees. The asymmetric unit holds Sr at (0.000, 0.000, 0.000), Ho at (0.000, 0.000, 0.500) and Hg at (0.500, 0.500, 0.282).

---

Density functional theory data (GGA-PBE) for a geometry-optimized SrHo5Hg6 structure.

For the formation energy, the calculation gives -5.67 eV per formula unit. The density of states at the Fermi level comes out at 0.68 states/eV/atom. The value obtained for the energy is -32.049 eV for the cell shown. For the size of the total moment, the calculation gives 0.00 Bohr magnetons per cell.

The space group is P2/m (No. 10) and the conventional cell measures 5.291, 7.490 and 8.394 Å, with angles of 90.00, 108.23 and 90.00 degrees. The asymmetric unit holds Sr at (0.000, 0.000, 0.000), Ho at (0.000, 0.500, 0.000), Ho at (0.333, 0.000, 0.664), Ho at (0.337, 0.500, 0.673), Hg at (0.171, 0.260, 0.344) and Hg at (0.500, 0.265, 0.000).

---

Density functional theory data (GGA-PBE) for a geometry-optimized SrHoHg4 structure.

For the formation energy, the calculation gives -2.35 eV per formula unit. The density of states at the Fermi level comes out at 0.40 states/eV/atom. The value obtained for the energy is -19.638 eV for the cell shown. For the size of the total moment, the calculation gives 0.00 Bohr magnetons per cell.

The space group is C2/m (No. 12) and the conventional cell measures 10.724, 3.932 and 8.219 Å, with angles of 90.00, 111.04 and 90.00 degrees. The asymmetric unit holds Sr at (0.000, 0.000, 0.000), Ho at (0.000, 0.000, 0.500), Hg at (0.167, 0.500, 0.810) and Hg at (0.169, 0.500, 0.350).

---

Density functional theory data (GGA-PBE) for a geometry-optimized SrHoHg2 structure.

For the formation energy, the calculation gives -1.38 eV per formula unit. The density of states at the Fermi level comes out at 0.57 states/eV/atom. The value obtained for the energy is -24.728 eV for the cell shown. For the size of the total moment, the calculation gives 0.00 Bohr magnetons per cell.

The space group is R3m (No. 160, hexagonal axes) and the conventional cell measures 4.0145, 4.0145 and 27.0677 Å, with angles of 90.00, 90.00 and 120.00 degrees. The asymmetric unit holds Sr at (0.0000, 0.0000, 0.0000), Ho at (0.0000, 0.0000, 0.8340), Hg at (0.0000, 0.0000, 0.2428) and Hg at (0.0000, 0.0000, 0.4245).

---

Density functional theory data (GGA-PBE) for a geometry-optimized SrHo4Hg5 structure.

For the formation energy, the calculation gives -4.91 eV per formula unit. The density of states at the Fermi level comes out at 0.71 states/eV/atom. The value obtained for the energy is -26.411 eV for the cell shown. For the size of the total moment, the calculation gives 0.00 Bohr magnetons per cell.

The space group is P4/mmm (No. 123) and the conventional cell measures 3.750, 3.750 and 18.897 Å, with angles of 90.00, 90.00 and 90.00 degrees. The asymmetric unit holds Sr at (0.000, 0.000, 0.000), Ho at (0.000, 0.000, 0.209), Ho at (0.000, 0.000, 0.403), Hg at (0.500, 0.500, 0.118), Hg at (0.500, 0.500, 0.306) and Hg at (0.500, 0.500, 0.500).

---

Density functional theory data (GGA-PBE) for a geometry-optimized SrHoHg6 structure.

For the formation energy, the calculation gives -1.01 eV per formula unit. The density of states at the Fermi level comes out at 0.60 states/eV/atom. The value obtained for the energy is -27.247 eV for the cell shown. For the size of the total moment, the calculation gives 0.00 Bohr magnetons per cell.

The space group is R-3m (No. 166, hexagonal axes) and the conventional cell measures 6.0254, 6.0254 and 25.7931 Å, with angles of 90.00, 90.00 and 120.00 degrees. The asymmetric unit holds Sr at (0.0000, 0.0000, 0.0000), Ho at (0.0000, 0.0000, 0.5000) and Hg at (0.0040, 0.5020, 0.4415).

---

Density functional theory data (GGA-PBE) for a geometry-optimized Sr2HoHg structure.

For the formation energy, the calculation gives 0.55 eV per formula unit. The density of states at the Fermi level comes out at 1.28 states/eV/atom. The value obtained for the energy is -23.080 eV for the cell shown. The energy above the lowest structure with this stoichiometry comes out at 236.8 meV per atom. For the size of the total moment, the calculation gives 1.58 Bohr magnetons per cell.

The space group is R-3m (No. 166, hexagonal axes) and the conventional cell measures 3.8448, 3.8448 and 36.3537 Å, with angles of 90.00, 90.00 and 120.00 degrees. The asymmetric unit holds Sr at (0.0000, 0.0000, 0.0982), Ho at (0.0000, 0.0000, 0.0000) and Hg at (0.0000, 0.0000, 0.5000).

---

Density functional theory data (GGA-PBE) for a geometry-optimized SrHoZnHg structure.

For the formation energy, the calculation gives -1.24 eV per formula unit. The density of states at the Fermi level comes out at 0.90 states/eV/atom. The value obtained for the energy is -36.309 eV for the cell shown. For the size of the total moment, the calculation gives 0.00 Bohr magnetons per cell.

The space group is F-43m (No. 216) and the conventional cell measures 7.561, 7.561 and 7.561 Å, with angles of 90.00, 90.00 and 90.00 degrees. The asymmetric unit holds Sr at (0.000, 0.000, 0.000), Ho at (0.000, 0.000, 0.500), Zn at (0.250, 0.250, 0.750) and Hg at (0.250, 0.250, 0.250).

---

Density functional theory data (GGA-PBE) for a geometry-optimized Ho2TaHg structure.

For the formation energy, the calculation gives 1.93 eV per formula unit. The density of states at the Fermi level comes out at 1.45 states/eV/atom. The value obtained for the energy is -58.139 eV for the cell shown. For the size of the total moment, the calculation gives 1.88 Bohr magnetons per cell.

The space group is R-3m (No. 166, hexagonal axes) and the conventional cell measures 3.2052, 3.2052 and 33.7965 Å, with angles of 90.00, 90.00 and 120.00 degrees. The asymmetric unit holds Ho at (0.0000, 0.0000, 0.0877), Ta at (0.0000, 0.0000, 0.0000) and Hg at (0.0000, 0.0000, 0.5000).

---

Density functional theory data (GGA-PBE) for a geometry-optimized Tb6HoHg2 structure.

For the formation energy, the calculation gives -1.89 eV per formula unit. The density of states at the Fermi level comes out at 1.01 states/eV/atom. The value obtained for the energy is -69.709 eV for the cell shown. For the size of the total moment, the calculation gives 0.00 Bohr magnetons per cell.

The space group is C2/m (No. 12) and the conventional cell measures 12.609, 3.733 and 11.861 Å, with angles of 90.00, 108.84 and 90.00 degrees. The asymmetric unit holds Tb at (0.017, 0.000, 0.338), Tb at (0.188, 0.500, 0.876), Tb at (0.189, 0.500, 0.586), Ho at (0.000, 0.000, 0.000) and Hg at (0.142, 0.500, 0.203).

---

Density functional theory data (GGA-PBE) for a geometry-optimized Tb3HoHg12 structure.

For the formation energy, the calculation gives -5.10 eV per formula unit. The density of states at the Fermi level comes out at 0.64 states/eV/atom. The value obtained for the energy is -27.195 eV for the cell shown. For the size of the total moment, the calculation gives 0.00 Bohr magnetons per cell.

The space group is P4/mmm (No. 123) and the conventional cell measures 4.524, 4.524 and 19.224 Å, with angles of 90.00, 90.00 and 90.00 degrees. The asymmetric unit holds Tb at (0.000, 0.000, 0.000), Tb at (0.000, 0.000, 0.251), Ho at (0.000, 0.000, 0.500), Hg at (0.000, 0.500, 0.125), Hg at (0.000, 0.500, 0.376), Hg at (0.500, 0.500, 0.000), Hg at (0.500, 0.500, 0.251) and Hg at (0.500, 0.500, 0.500).

---

Density functional theory data (GGA-PBE) for a geometry-optimized TbHo2Hg3 structure.

For the formation energy, the calculation gives -2.88 eV per formula unit. The density of states at the Fermi level comes out at 1.00 states/eV/atom. The value obtained for the energy is -17.572 eV for the cell shown. For the size of the total moment, the calculation gives 0.15 Bohr magnetons per cell.

The space group is P4/mmm (No. 123) and the conventional cell measures 3.723, 3.723 and 11.126 Å, with angles of 90.00, 90.00 and 90.00 degrees. The asymmetric unit holds Tb at (0.000, 0.000, 0.000), Ho at (0.000, 0.000, 0.334), Hg at (0.500, 0.500, 0.170) and Hg at (0.500, 0.500, 0.500).